Computed, not measured: a relaxed ScTa2Co crystal at the PBE level of DFT.

- Offset from the most stable computed form: 309.4 meV per atom
- Formation energy from the elements: 0.2575 eV per atom

a b c (Å): 4.1008 4.1008 8.1787
angles (deg): 90.00 90.00 90.00
Space group I-4m2 (No. 119)
One atom of each set of equivalent atoms:
Sc (0.0000, 0.0000, 0.0000) x2
Ta (0.0000, 0.0000, 0.5000) x2
Ta (0.0000, 0.5000, 0.7500) x2
Co (0.0000, 0.5000, 0.2500) x2